[1]
A plane-wave DFT calculation with PBE-GGA was carried out for Rb2TiCd after structural relaxation.

Cell and atoms, written as POSCAR:
```
Rb2TiCd
1.0
13.1128 0.0000 0.0000
0.0000 13.1128 0.0000
6.5564 6.5564 2.7963
Ti Rb Cd
2 4 2
direct
0.5000 0.5000 0.0000
0.2500 0.7500 0.5000
0.7723 0.1250 0.2500
0.9777 0.6250 0.2500
0.3750 0.2277 0.7500
0.8750 0.0223 0.7500
0.0000 0.0000 0.0000
0.7500 0.2500 0.5000
```

Properties
**SG**: No. 122
**ΔH_f (0 K)**: 0.800 eV/atom



[2]
A plane-wave DFT calculation with PBE-GGA was carried out for PmPr12Y6 after structural relaxation.

Cell and atoms, written as POSCAR:
```
PmPr12Y6
1.0
-6.3068 6.1455 -1.6786
-4.4062 -5.0739 5.9331
5.1894 4.6854 5.6105
Pm Pr Y
1 12 6
direct
0.0000 0.0000 0.0000
0.7565 0.2435 0.5000
0.3514 0.0792 0.3514
0.3514 0.3514 0.0792
0.9208 0.6486 0.6486
0.6486 0.6486 0.9208
0.6486 0.9208 0.6486
0.5000 0.7565 0.2435
0.2435 0.5000 0.7565
0.2435 0.7565 0.5000
0.5000 0.2435 0.7565
0.7565 0.5000 0.2435
0.0792 0.3514 0.3514
0.9008 0.3343 0.9008
0.9008 0.9008 0.3343
0.3343 0.9008 0.9008
0.0992 0.0992 0.6657
0.0992 0.6657 0.0992
0.6657 0.0992 0.0992
```

Properties
**SG**: No. 166
**ΔH_f (0 K)**: 0.183 eV/atom
**Offset from the most stable computed form**: 0 meV per atom



[3]
A plane-wave DFT calculation with PBE-GGA was carried out for HoBe4Cu8 after structural relaxation.

Cell and atoms, written as POSCAR:
```
HoBe4Cu8
1.0
4.5898 0.0000 0.0000
2.2949 5.7894 0.0000
2.2949 0.0000 5.7894
Ho Be Cu
1 4 8
direct
0.0000 0.0000 0.0000
0.0000 0.0000 0.5000
0.5000 0.0000 0.5000
0.0000 0.5000 0.0000
0.5000 0.5000 0.0000
0.0000 0.3493 0.6507
0.0000 0.6507 0.3493
0.3493 0.6507 0.6507
0.6507 0.3493 0.3493
0.5000 0.7770 0.2230
0.5000 0.2230 0.7770
0.2770 0.2230 0.2230
0.7230 0.7770 0.7770
```

Properties
**SG**: No. 139
**ΔH_f (0 K)**: -0.152 eV/atom



[4]
A plane-wave DFT calculation with PBE-GGA was carried out for SbIrPb2 after structural relaxation.

Cell and atoms, written as POSCAR:
```
SbIrPb2
1.0
-0.3287 -4.6489 0.5018
1.5103 -2.5303 3.6454
-5.3815 -1.4245 4.1083
Ir Pb Sb
1 2 1
direct
0.2348 0.2348 0.3772
0.9464 0.9464 0.0777
0.7704 0.7704 0.6703
0.5484 0.5484 0.3748
```

Properties
**SG**: No. 8
**Formation energy without anion corrections**: 0.051 eV/atom



[5]
A plane-wave DFT calculation with PBE-GGA was carried out for LaReAu after structural relaxation.

Cell and atoms, written as POSCAR:
```
LaReAu
1.0
4.5088 0.0000 0.0000
-2.2544 3.9047 0.0000
0.0000 0.0000 4.0802
Au La Re
1 1 1
direct
0.0000 0.0000 0.8334
0.6667 0.3333 0.3333
0.3333 0.6667 0.8333
```

Properties
**SG**: No. 187
**ΔH_f (0 K)**: 0.239 eV/atom
**Offset from the most stable computed form**: 0 meV per atom



[6]
A plane-wave DFT calculation with PBE-GGA was carried out for TbDy2Th3As6 after structural relaxation.

Cell and atoms, written as POSCAR:
```
TbDy2Th3As6
1.0
4.2012 0.0000 0.0000
0.0000 8.3465 0.3193
-2.1006 -2.3785 8.8102
Tb Dy Th As
1 2 3 6
direct
0.5000 0.0000 0.0000
0.8333 0.6669 0.6666
0.1667 0.3331 0.3334
0.5000 0.5000 0.0000
0.8335 0.1670 0.6669
0.1665 0.8330 0.3331
0.3347 0.9123 0.6694
0.6684 0.5787 0.3369
0.6653 0.0877 0.3306
0.0018 0.2465 0.0037
0.9982 0.7535 0.9963
0.3316 0.4213 0.6631
```

Properties
**SG**: No. 12
**ΔH_f (0 K)**: -1.472 eV/atom